(1)
Material: SmDyGePt
Method: DFT, GGA-PBE
State: optimized geometry

The structure in CIF format:
```
data_SmDyGePt
_chemical_formula_sum 'Sm1 Dy1 Ge1 Pt1'
_symmetry_space_group_name_H-M 'P 1'
_symmetry_Int_Tables_number 1
_cell_length_a 4.007
_cell_length_b 4.273
_cell_length_c 5.844
_cell_angle_alpha 90.00
_cell_angle_beta 110.05
_cell_angle_gamma 90.00
loop_
_symmetry_equiv_pos_as_xyz
'x,y,z'
loop_
_atom_site_label
_atom_site_fract_x
_atom_site_fract_y
_atom_site_fract_z
Dy1 0.140 0.000 0.279
Sm1 0.861 0.500 0.723
Ge1 0.583 0.500 0.166
Pt1 0.416 0.000 0.832
```

Results
Offset from the most stable computed form   0.000 eV/atom
Electronic total energy   -6.0373 eV per atom
Symmetry   No. 38
Spin magnetization   0.000 Bohr magnetons per cell
ΔH_f (0 K)   -4.2 eV/f.u.



(2)
Material: CuB3O
Method: DFT, GGA-PBE
State: optimized geometry

The structure in CIF format:
```
data_CuB3O
_chemical_formula_sum 'Cu1 B3 O1'
_symmetry_space_group_name_H-M 'P 1'
_symmetry_Int_Tables_number 1
_cell_length_a 3.757
_cell_length_b 3.757
_cell_length_c 3.757
_cell_angle_alpha 90.00
_cell_angle_beta 90.00
_cell_angle_gamma 90.00
loop_
_symmetry_equiv_pos_as_xyz
'x,y,z'
loop_
_atom_site_label
_atom_site_fract_x
_atom_site_fract_y
_atom_site_fract_z
Cu1 0.000 0.000 0.000
B1 0.500 0.000 0.000
B2 0.000 0.500 0.000
B3 0.000 0.000 0.500
O1 0.500 0.500 0.500
```

Results
Offset from the most stable computed form   0.003 eV/atom
Electronic total energy   -4.1763 eV per atom
Symmetry   No. 221
Spin magnetization   0.000 Bohr magnetons per cell



(3)
Material: PuHfSi
Method: DFT, GGA-PBE
State: optimized geometry

The structure in CIF format:
```
data_PuHfSi
_chemical_formula_sum 'Pu4 Hf4 Si4'
_symmetry_space_group_name_H-M 'P 1'
_symmetry_Int_Tables_number 1
_cell_length_a 5.439
_cell_length_b 6.659
_cell_length_c 7.726
_cell_angle_alpha 90.00
_cell_angle_beta 90.00
_cell_angle_gamma 114.11
loop_
_symmetry_equiv_pos_as_xyz
'x,y,z'
loop_
_atom_site_label
_atom_site_fract_x
_atom_site_fract_y
_atom_site_fract_z
Si1 0.876 0.751 0.068
Si2 0.624 0.249 0.568
Si3 0.124 0.249 0.932
Si4 0.376 0.751 0.432
Hf1 0.816 0.631 0.401
Hf2 0.316 0.631 0.099
Hf3 0.184 0.369 0.599
Hf4 0.684 0.369 0.901
Pu1 0.807 0.114 0.250
Pu2 0.193 0.886 0.750
Pu3 0.693 0.886 0.750
Pu4 0.307 0.114 0.250
```

Results
Electronic total energy   -10.2238 eV per atom
Symmetry   No. 64
Spin magnetization   22.128 Bohr magnetons per cell



(4)
Material: LaCu2Pd4
Method: DFT, GGA-PBE
State: optimized geometry

The structure in CIF format:
```
data_LaCu2Pd4
_chemical_formula_sum 'La1 Cu2 Pd4'
_symmetry_space_group_name_H-M 'P 1'
_symmetry_Int_Tables_number 1
_cell_length_a 6.147
_cell_length_b 6.147
_cell_length_c 6.147
_cell_angle_alpha 99.33
_cell_angle_beta 99.33
_cell_angle_gamma 132.52
loop_
_symmetry_equiv_pos_as_xyz
'x,y,z'
loop_
_atom_site_label
_atom_site_fract_x
_atom_site_fract_y
_atom_site_fract_z
Pd1 0.269 0.500 0.769
Pd2 0.500 0.731 0.231
Pd3 0.500 0.269 0.769
Pd4 0.731 0.500 0.231
Cu1 0.250 0.750 0.500
Cu2 0.750 0.250 0.500
La1 0.000 0.000 0.000
```

Results
Offset from the most stable computed form   0.545 eV/atom
Electronic total energy   -4.7378 eV per atom
Symmetry   No. 139
Spin magnetization   0.000 Bohr magnetons per cell
ΔH_f (0 K)   0.7 eV/f.u.



Which value of spin magnetization does entry 4 give?
0.000 Bohr magnetons per cell